[1]
DFT (PBE-GGA) results for crystalline BaLi2Mo at its relaxed geometry.

Computed properties:
* energy of formation from the pure elements: 84 kJ per mole of atoms
* total magnetization: 0.2 μB/f.u.
* E above lowest polymorph: 0.136 eV per atom
* space-group type: Cmmm (65)

```
BaLi2Mo
1.0
-4.817 -2.403 -1.597
1.175 -0.649 5.452
-1.453 2.507 0.612
Ba Li Mo
1 2 1
Direct
0.000 0.500 0.500
0.000 0.000 0.000
0.500 0.500 0.000
0.500 0.000 0.500
```

[2]
DFT (PBE-GGA) results for crystalline CaDyPtRh at its relaxed geometry.

Computed properties:
* energy of formation from the pure elements: -84 kJ per mole of atoms
* total magnetization: 0.0 μB/f.u.
* E above lowest polymorph: 0.000 eV per atom
* space-group type: P4mm (99)

```
CaDyPtRh
1.0
3.426 0.000 0.000
0.000 3.426 0.000
0.000 0.000 7.127
Ca Dy Pt Rh
1 1 1 1
Direct
0.000 0.000 0.856
0.000 0.000 0.360
0.500 0.500 0.125
0.500 0.500 0.587
```

[3]
DFT (PBE-GGA) results for crystalline RuPt2Se at its relaxed geometry.

Computed properties:
* total magnetization: 0.3 μB/f.u.
* formation energy (no corrections): 0.27 eV/atom
* space-group type: Immm (71)

```
RuPt2Se
1.0
5.468 0.011 0.015
2.730 4.738 -0.015
-3.495 -3.418 2.451
Pt Ru Se
2 1 1
Direct
0.996 0.996 0.000
0.504 0.504 0.000
0.250 0.750 0.500
0.750 0.250 0.500
```

[4]
DFT (PBE-GGA) results for crystalline NaBiTePOs at its relaxed geometry.

Computed properties:
* total magnetization: 0.0 μB/f.u.
* E above lowest polymorph: 0.071 eV per atom
* formation energy (no corrections): 0.01 eV/atom
* space-group type: P1 (1)

```
NaBiTePOs
1.0
0.002 -2.236 -2.858
5.345 -2.177 1.686
-4.659 -2.108 3.965
Na Bi Te P Os
1 1 1 1 1
Direct
0.839 0.153 0.509
0.598 0.538 0.033
0.352 0.647 0.535
0.138 0.062 0.105
0.534 0.049 0.899
```

[5]
DFT (PBE-GGA) results for crystalline Er6InNi at its relaxed geometry.

Computed properties:
* energy of formation from the pure elements: 2 kJ per mole of atoms
* total magnetization: 0.0 μB/f.u.
* space-group type: P-1 (2)

```
Er6InNi
1.0
-5.228 -0.922 -4.390
-6.137 -2.099 2.341
-5.419 4.636 0.085
Er In Ni
6 1 1
Direct
0.029 0.420 0.759
0.791 0.028 0.759
0.579 0.209 0.241
0.209 0.972 0.241
0.971 0.580 0.241
0.421 0.791 0.759
0.500 0.500 0.500
0.000 0.000 0.000
```

[6]
DFT (PBE-GGA) results for crystalline Co2PdPtCl at its relaxed geometry.

Computed properties:
* total magnetization: 2.8 μB/f.u.
* formation energy (no corrections): 0.72 eV/atom
* space-group type: P4/mmm (123)

```
Co2PdPtCl
1.0
-2.880 -1.910 2.216
3.140 -2.689 1.764
0.576 2.679 3.057
Co Pd Pt Cl
2 1 1 1
Direct
0.000 0.000 0.500
0.500 0.000 0.000
0.000 0.500 0.000
0.500 0.500 0.500
0.000 0.000 0.000
```

[7]
DFT (PBE-GGA) results for crystalline TaRuSe2Br at its relaxed geometry.

Computed properties:
* total magnetization: 3.1 μB/f.u.
* E above lowest polymorph: 0.000 eV per atom
* formation energy (no corrections): 0.69 eV/atom
* space-group type: P4/mmm (123)

```
TaRuSe2Br
1.0
-4.706 1.561 -0.859
-1.679 -4.697 0.662
-0.605 0.919 4.981
Ru Se Br Ta
1 2 1 1
Direct
0.500 0.500 0.500
0.000 0.500 0.000
0.500 0.000 0.000
0.000 0.000 0.500
0.000 0.000 0.000
```

[8]
DFT (PBE-GGA) results for crystalline Ho2Tm7 at its relaxed geometry.

Computed properties:
* energy of formation from the pure elements: 3 kJ per mole of atoms
* total magnetization: 0.0 μB/f.u.
* space-group type: P-31m (162)

```
Ho2Tm7
1.0
-4.033 -2.477 -3.761
-0.561 -0.773 5.969
-4.782 7.079 0.467
Ho Tm
2 7
Direct
0.333 0.667 0.000
0.667 0.333 0.000
0.000 0.000 0.000
0.667 0.000 0.334
0.000 0.667 0.334
0.333 0.333 0.334
0.000 0.333 0.666
0.333 0.000 0.666
0.667 0.667 0.666
```